A plane-wave DFT calculation with GGA+U was carried out for an optimized crystal structure of KFeF4.

a b c (Å): 4.011 6.527 7.977
angles (deg): 90.00 90.00 90.00
Site moments in Bohr magnetons follow the coordinates.
Atoms (fractional coordinates):
F1 0.395 0.621 0.500  0.11
F2 0.395 0.190 0.821  0.13
F3 0.895 0.810 0.321  0.13
F4 0.895 0.810 0.679  0.13
F5 0.895 0.379 0.000  0.11
F6 0.895 0.343 0.500  0.12
F7 0.395 0.657 0.000  0.12
F8 0.395 0.190 0.179  0.13
Fe1 0.895 0.627 0.500  4.42
Fe2 0.395 0.373 0.000  4.42
K1 0.895 0.921 0.000  0.00
K2 0.395 0.079 0.500  0.00

* DFT total energy: -4.96 eV/atom